Entry from OQMD via LeMat-Bulk: Tm2Sc2CI5 after structural relaxation (PBE).

a b c (Å): 10.324 10.324 8.370
angles (deg): 101.44 101.44 21.48
Sites, in units of the cell vectors:
Tm: 0.000 0.000 0.189
Tm: 0.000 0.000 0.811
Sc: 0.388 0.388 0.945
Sc: 0.612 0.612 0.055
C: 0.500 0.500 0.000
I: 0.153 0.153 0.320
I: 0.154 0.154 0.830
I: 0.500 0.500 0.500
I: 0.846 0.846 0.170
I: 0.847 0.847 0.680

Values from the calculation:
The calculation puts the total magnetization at 0.3 Bohr magnetons per cell. The calculation puts the calculated density at 5.58 g/cm3. The calculated total energy comes out at -49.22 eV per cell.